Entry from Alexandria via LeMat-Bulk: ZnCd8Au6 after structural relaxation (PBE).

Uncorrected energy in eV/atom: -2.067
Crystal system: trigonal

Cell lengths 8.0166, 8.0166, 17.3566 Å; angles 90.00, 90.00, 120.00 degrees
Space group R-3 (No. 148, hexagonal axes)
Inequivalent atoms, fractional coordinates:
Zn 0.0000 0.0000 0.0000 [3 per cell]
Cd 0.0000 0.0000 0.3337 [6 per cell]
Cd 0.0031 0.3481 0.8805 [18 per cell]
Au 0.0005 0.3166 0.0513 [18 per cell]

Entry from Alexandria via LeMat-Bulk: UNbO5 after structural relaxation (PBE).

Uncorrected formation energy in eV/f.u.: -20.18
E above lowest polymorph in meV per atom: 0
Crystal system: orthorhombic

Cell lengths 4.138, 6.515, 7.537 Å; angles 90.00, 90.00, 90.00 degrees
Space group P222_1 (No. 17)
Inequivalent atoms, fractional coordinates:
U 0.000 0.043 0.250 [2 per cell]
Nb 0.081 0.500 0.000 [2 per cell]
O 0.000 0.411 0.250 [2 per cell]
O 0.011 0.194 0.953 [4 per cell]
O 0.485 0.500 0.500 [2 per cell]
O 0.500 0.049 0.250 [2 per cell]

Entry from Alexandria via LeMat-Bulk: ZnCr after structural relaxation (PBE).

Uncorrected energy in eV/atom: -5.185
Crystal system: trigonal

Cell lengths 2.5960, 2.5960, 26.6963 Å; angles 90.00, 90.00, 120.00 degrees
Space group R-3m (No. 166, hexagonal axes)
Inequivalent atoms, fractional coordinates:
Zn 0.0000 0.0000 0.1224 [6 per cell]
Cr 0.0000 0.0000 0.3724 [6 per cell]